Computed, not measured: an optimized crystal structure of TlIn2CuS4 at the GGA-PBE level of DFT.

Calculated values
Formation energy from raw total energies = -0.392 eV/atom
D(E_F) = 0.5 states/eV/f.u.
Density = 4.9 g cm⁻³

Lattice parameters (Å, degrees): 5.9255 5.9255 12.0853 90.00 90.00 90.00
Element x y z (fractional)
1 Tl 0.0000 0.0000 0.0000
2 Tl 0.5000 0.5000 0.5000
3 In 0.0000 0.5000 0.2500
4 In 0.0000 0.5000 0.7500
5 In 0.5000 0.0000 0.2500
6 In 0.5000 0.0000 0.7500
7 Cu 0.0000 0.0000 0.5000
8 Cu 0.5000 0.5000 0.0000
9 S 0.2044 0.2044 0.3653
10 S 0.2044 0.7956 0.6347
11 S 0.2956 0.2956 0.8653
12 S 0.2956 0.7044 0.1347
13 S 0.7044 0.2956 0.1347
14 S 0.7044 0.7044 0.8653
15 S 0.7956 0.2044 0.6347
16 S 0.7956 0.7956 0.3653



Computed, not measured: an optimized crystal structure of TlInCu2S4 at the GGA-PBE level of DFT.

Calculated values
Formation energy from raw total energies = -0.352 eV/atom
D(E_F) = 0.8 states/eV/f.u.
Density = 5.3 g cm⁻³

Lattice parameters (Å, degrees): 5.6711 5.6711 11.1520 90.00 90.00 90.00
Element x y z (fractional)
1 Tl 0.0000 0.0000 0.0000
2 Tl 0.5000 0.5000 0.5000
3 In 0.0000 0.0000 0.5000
4 In 0.5000 0.5000 0.0000
5 Cu 0.0000 0.5000 0.2500
6 Cu 0.0000 0.5000 0.7500
7 Cu 0.5000 0.0000 0.2500
8 Cu 0.5000 0.0000 0.7500
9 S 0.2423 0.2423 0.6436
10 S 0.2423 0.7577 0.3564
11 S 0.2577 0.2577 0.1436
12 S 0.2577 0.7423 0.8564
13 S 0.7423 0.2577 0.8564
14 S 0.7423 0.7423 0.1436
15 S 0.7577 0.2423 0.3564
16 S 0.7577 0.7577 0.6436



Computed, not measured: an optimized crystal structure of Tm2InCuS4 at the GGA-PBE level of DFT.

Calculated values
Formation energy from raw total energies = -1.400 eV/atom
Density = 6.0 g cm⁻³

Lattice parameters (Å, degrees): 6.9860 6.9860 13.6441 90.00 90.00 147.58
Element x y z (fractional)
1 Tm 0.1337 0.8663 0.5632
2 Tm 0.1337 0.8663 0.9368
3 Tm 0.8663 0.1337 0.0632
4 Tm 0.8663 0.1337 0.4368
5 In 0.3922 0.6078 0.7500
6 In 0.6078 0.3922 0.2500
7 Cu 0.3339 0.6661 0.2500
8 Cu 0.6661 0.3339 0.7500
9 S 0.0690 0.9310 0.7500
10 S 0.2377 0.7623 0.1086
11 S 0.2377 0.7623 0.3914
12 S 0.5000 0.5000 0.0000
13 S 0.5000 0.5000 0.5000
14 S 0.7623 0.2377 0.6086
15 S 0.7623 0.2377 0.8914
16 S 0.9310 0.0690 0.2500



- What is the formula in the first record?
  TlIn2CuS4



- Among the records above, which one has the highest density?
  Tm2InCuS4



- Which value of density does entry 1 give?
  4.9 g cm⁻³